# 1
# ZrTl2Hg | Alexandria | PBEsol | optimized geometry
# distance to the lowest polymorph of the same formula = 0.0 meV per atom
# DFT formation energy = 0.19 eV per formula unit
data_ZrTl2Hg
_symmetry_space_group_name_H-M 'C m m 2'
_symmetry_Int_Tables_number 35
_symmetry_space_group_name_Hall 'C 2 -2'
_cell_length_a 3.471
_cell_length_b 5.470
_cell_length_c 10.172
_cell_angle_alpha 90.00
_cell_angle_beta 90.00
_cell_angle_gamma 90.00
loop_
_atom_site_label
_atom_site_type_symbol
_atom_site_fract_x
_atom_site_fract_y
_atom_site_fract_z
Zr1 Zr 0.000 0.000 0.000
Tl1 Tl 0.000 0.000 0.490
Tl2 Tl 0.000 0.500 0.756
Hg1 Hg 0.000 0.500 0.230

# 2
# ZrTl2Hg | Alexandria | PBEsol | optimized geometry
# distance to the lowest polymorph of the same formula = 28.2 meV per atom
# DFT formation energy = 0.31 eV per formula unit
data_ZrTl2Hg
_symmetry_space_group_name_H-M 'P 4/m m m'
_symmetry_Int_Tables_number 123
_symmetry_space_group_name_Hall '-P 4 2'
_cell_length_a 3.646
_cell_length_b 3.646
_cell_length_c 6.908
_cell_angle_alpha 90.00
_cell_angle_beta 90.00
_cell_angle_gamma 90.00
loop_
_atom_site_label
_atom_site_type_symbol
_atom_site_fract_x
_atom_site_fract_y
_atom_site_fract_z
Zr1 Zr 0.000 0.000 0.000
Tl1 Tl 0.500 0.500 0.250
Hg1 Hg 0.000 0.000 0.500

# 3
# Zr2TlHg | Alexandria | PBEsol | optimized geometry
# DFT formation energy = -0.63 eV per formula unit
data_Zr2TlHg
_symmetry_space_group_name_H-M 'I -4 m 2'
_symmetry_Int_Tables_number 119
_symmetry_space_group_name_Hall 'I -4 -2'
_cell_length_a 4.216
_cell_length_b 4.216
_cell_length_c 9.668
_cell_angle_alpha 90.00
_cell_angle_beta 90.00
_cell_angle_gamma 90.00
loop_
_atom_site_label
_atom_site_type_symbol
_atom_site_fract_x
_atom_site_fract_y
_atom_site_fract_z
Zr1 Zr 0.000 0.000 0.000
Zr2 Zr 0.000 0.500 0.250
Tl1 Tl 0.000 0.500 0.750
Hg1 Hg 0.000 0.000 0.500

# 4
# TmHg | Alexandria | PBEsol | optimized geometry
# DFT formation energy = -1.16 eV per formula unit
data_TmHg
_symmetry_space_group_name_H-M 'P m -3 m'
_symmetry_Int_Tables_number 221
_symmetry_space_group_name_Hall '-P 4 2 3'
_cell_length_a 3.608
_cell_length_b 3.608
_cell_length_c 3.608
_cell_angle_alpha 90.00
_cell_angle_beta 90.00
_cell_angle_gamma 90.00
loop_
_atom_site_label
_atom_site_type_symbol
_atom_site_fract_x
_atom_site_fract_y
_atom_site_fract_z
Tm1 Tm 0.000 0.000 0.000
Hg1 Hg 0.500 0.500 0.500